First-principles (GGA-PBE) data for an optimized crystal structure of Tl6TcF12, as listed in Alexandria.

Structure (POSCAR):
```
Tl6TcF12
1.0
7.465 -0.018 -1.152
-1.341 7.343 -1.152
-0.015 -0.018 7.553
Tl Tc F
6 1 12
Direct
0.153 0.322 0.609 Tl
0.678 0.391 0.847 Tl
0.391 0.847 0.678 Tl
0.847 0.678 0.391 Tl
0.322 0.609 0.153 Tl
0.609 0.153 0.322 Tl
0.000 0.000 0.000 Tc
0.441 0.184 0.583 F
0.184 0.583 0.441 F
0.583 0.441 0.184 F
0.559 0.816 0.417 F
0.816 0.417 0.559 F
0.417 0.559 0.816 F
0.020 0.932 0.748 F
0.252 0.980 0.068 F
0.068 0.252 0.980 F
0.980 0.068 0.252 F
0.748 0.020 0.932 F
0.932 0.748 0.020 F
```

Output
E_form (uncorrected) (eV per atom): -1.876
N(E_F) (states/eV per cell): 14.16
Raw total energy (eV per atom): -4.351